SnTePBr2 | meta-GGA SCAN | PBEsol geometry

Cell lengths 4.926, 4.926, 5.523 Å; angles 90.00, 90.00, 90.00 degrees
Element x y z (fractional)
Br: 0.000 0.500 0.000
Te: 0.000 0.000 0.500
Sn: 0.500 0.500 0.500
P: 0.000 0.000 0.000
Br: 0.500 0.000 0.000

Values from the calculation:
M_tot in μB per cell: 0.0
Crystal system: tetragonal
Uncorrected formation energy in kJ/mol of atoms: 12
Calculated volume in A^3/atom: 26.8

Mo2WAu | meta-GGA SCAN | PBEsol geometry

Cell lengths 3.989, 3.989, 4.825 Å; angles 114.42, 114.42, 90.00 degrees
Element x y z (fractional)
Au: 0.250 0.750 0.500
Mo: 0.000 0.000 0.000
W: 0.500 0.500 0.000
Mo: 0.750 0.250 0.500

Values from the calculation:
M_tot in μB per cell: 0.0
Formation enthalpy at 0 K in eV/atom: 0.2328
Crystal system: tetragonal
Calculated volume in A^3/atom: 15.6

BaBeAs2 | meta-GGA SCAN | PBEsol geometry

Cell lengths 3.831, 4.856, 5.897 Å; angles 72.02, 71.05, 66.77 degrees
Element x y z (fractional)
Ba: 0.500 0.000 0.000
As: 0.673 0.265 0.389
Be: 0.000 0.500 0.500
As: 0.327 0.735 0.611

Values from the calculation:
M_tot in μB per cell: 0.0
Formation enthalpy at 0 K in eV/atom: -0.3793
Crystal system: monoclinic
Calculated volume in A^3/atom: 23.3

KBeOs2 | meta-GGA SCAN | PBEsol geometry

Cell lengths 2.614, 4.894, 5.565 Å; angles 114.92, 101.57, 94.48 degrees
Element x y z (fractional)
Os: 0.500 0.500 0.500
K: 0.000 0.500 0.000
Os: 0.000 0.000 0.500
Be: 0.500 0.000 0.000

Values from the calculation:
M_tot in μB per cell: 0.0
Formation enthalpy at 0 K in eV/atom: 1.3816
Crystal system: monoclinic
Calculated volume in A^3/atom: 15.5

CsBeAs3 | meta-GGA SCAN | PBEsol geometry

Cell lengths 5.589, 5.589, 5.589 Å; angles 90.00, 90.00, 90.00 degrees
Element x y z (fractional)
Be: 0.500 0.500 0.500
Cs: 0.000 0.000 0.000
As: 0.500 0.000 0.000
As: 0.000 0.000 0.500
As: 0.000 0.500 0.000

Values from the calculation:
M_tot in μB per cell: 0.0
Formation enthalpy at 0 K in eV/atom: 2.3799
Crystal system: cubic
Calculated volume in A^3/atom: 34.9

Y3In | meta-GGA SCAN | PBEsol geometry

Cell lengths 3.531, 3.531, 9.111 Å; angles 90.00, 90.00, 90.00 degrees
Element x y z (fractional)
Y: 0.000 0.000 0.500
In: 0.000 0.000 0.000
Y: 0.500 0.500 0.775
Y: 0.500 0.500 0.225

Values from the calculation:
M_tot in μB per cell: 0.0
Formation enthalpy at 0 K in eV/atom: -0.3216
Crystal system: tetragonal
Calculated volume in A^3/atom: 28.4

Sc3ZnC | meta-GGA SCAN | PBEsol geometry

Cell lengths 6.261, 6.261, 6.261 Å; angles 90.80, 119.15, 119.93 degrees
Element x y z (fractional)
Sc: 0.500 0.216 0.216
Sc: 0.570 0.320 0.750
C: 0.500 0.000 0.500
Zn: 0.992 0.242 0.250
Sc: 0.430 0.680 0.250
Zn: 0.008 0.758 0.750
Sc: 0.500 0.784 0.784
Sc: 0.000 0.784 0.284
Sc: 0.000 0.216 0.716
C: 0.500 0.500 0.000

Values from the calculation:
M_tot in μB per cell: 0.0
Formation enthalpy at 0 K in eV/atom: -0.5479
Crystal system: orthorhombic
Calculated volume in A^3/atom: 17.5

InHgPt | meta-GGA SCAN | PBEsol geometry

Cell lengths 3.060, 4.649, 4.649 Å; angles 120.00, 90.00, 90.00 degrees
Element x y z (fractional)
Pt: 0.388 0.333 0.667
Hg: 0.036 0.000 0.000
In: 0.576 0.667 0.333

Values from the calculation:
M_tot in μB per cell: 0.0
Formation enthalpy at 0 K in eV/atom: 0.0274
Crystal system: trigonal
Calculated volume in A^3/atom: 19.1

LaTc2Pb | meta-GGA SCAN | PBEsol geometry

Cell lengths 3.065, 5.533, 5.533 Å; angles 109.68, 105.46, 105.46 degrees
Element x y z (fractional)
Pb: 0.500 0.500 0.500
Tc: 0.000 0.000 0.500
La: 0.500 0.000 0.000
Tc: 0.000 0.500 0.000

Values from the calculation:
M_tot in μB per cell: 0.0
Formation enthalpy at 0 K in eV/atom: 0.5840
Crystal system: monoclinic
Calculated volume in A^3/atom: 19.6

CaMg3 | meta-GGA SCAN | PBEsol geometry

Cell lengths 4.727, 4.727, 4.727 Å; angles 90.00, 90.00, 90.00 degrees
Element x y z (fractional)
Mg: 0.500 0.000 0.500
Ca: 0.000 0.000 0.000
Mg: 0.500 0.500 0.000
Mg: 0.000 0.500 0.500

Values from the calculation:
M_tot in μB per cell: 0.0
Formation enthalpy at 0 K in eV/atom: -0.0217
Crystal system: cubic
Calculated volume in A^3/atom: 26.4

InCuSe2 | meta-GGA SCAN | PBEsol geometry

Cell lengths 3.815, 4.694, 4.694 Å; angles 108.67, 90.00, 90.00 degrees
Element x y z (fractional)
Se: 0.000 0.000 0.500
In: 0.500 0.500 0.500
Se: 0.000 0.500 0.000
Cu: 0.500 0.000 0.000

Values from the calculation:
M_tot in μB per cell: 0.0
Crystal system: orthorhombic
Uncorrected formation energy in kJ/mol of atoms: 20
Calculated volume in A^3/atom: 19.9

KScSb2 | meta-GGA SCAN | PBEsol geometry

Cell lengths 6.058, 6.058, 9.994 Å; angles 107.64, 107.64, 90.00 degrees
Element x y z (fractional)
Sc: 0.250 0.750 0.500
Sb: 0.625 0.803 0.750
Sb: 0.125 0.947 0.750
Sb: 0.053 0.375 0.250
Sb: 0.197 0.875 0.250
K: 0.750 0.250 0.500
Sc: 0.000 0.000 0.000
K: 0.500 0.500 0.000

Values from the calculation:
M_tot in μB per cell: 0.0
Crystal system: tetragonal
Uncorrected formation energy in kJ/mol of atoms: -41
Calculated volume in A^3/atom: 41.4

BeNi2Pt | meta-GGA SCAN | PBEsol geometry

Cell lengths 2.721, 4.075, 4.651 Å; angles 115.98, 107.01, 90.00 degrees
Last column: magnetic moment on the atom in μB.
Element x y z (fractional)
Pt: 0.524 0.524 0.048  0.12
Ni: 0.744 0.244 0.488  0.83
Be: 0.258 0.758 0.516  -0.02
Ni: 0.974 0.974 0.948  0.35

Values from the calculation:
M_tot in μB per cell: 1.2
Formation enthalpy at 0 K in eV/atom: -0.3021
Crystal system: orthorhombic
Calculated volume in A^3/atom: 11.0

Li2TiFeCl | meta-GGA SCAN | PBEsol geometry

Cell lengths 4.036, 4.781, 4.781 Å; angles 90.00, 90.00, 90.00 degrees
Last column: magnetic moment on the atom in μB.
Element x y z (fractional)
Li: 0.000 0.000 0.500  -0.01
Ti: 0.500 0.000 0.000  -0.44
Cl: 0.500 0.500 0.500  0.01
Li: 0.000 0.500 0.000  -0.01
Fe: 0.000 0.000 0.000  1.39

Values from the calculation:
M_tot in μB per cell: 0.8
Crystal system: tetragonal
Uncorrected formation energy in kJ/mol of atoms: 35
Calculated volume in A^3/atom: 18.5

ZrPtCl2 | meta-GGA SCAN | PBEsol geometry

Cell lengths 4.106, 4.106, 4.996 Å; angles 114.26, 114.26, 90.00 degrees
Element x y z (fractional)
Zr: 0.000 0.000 0.000
Cl: 0.750 0.250 0.500
Pt: 0.500 0.500 0.000
Cl: 0.250 0.750 0.500

Values from the calculation:
M_tot in μB per cell: 0.0
Crystal system: tetragonal
Uncorrected formation energy in kJ/mol of atoms: -41
Calculated volume in A^3/atom: 17.1

KFeIr2 | meta-GGA SCAN | PBEsol geometry

Cell lengths 2.709, 4.210, 7.021 Å; angles 90.00, 101.25, 90.00 degrees
Last column: magnetic moment on the atom in μB.
Element x y z (fractional)
Ir: 0.200 0.000 0.027  0.04
Fe: 0.102 0.500 0.835  3.12
K: 0.442 0.000 0.499  0.00
Ir: 0.757 0.500 0.140  -0.01

Values from the calculation:
M_tot in μB per cell: 3.2
Formation enthalpy at 0 K in eV/atom: 0.4988
Crystal system: monoclinic
Calculated volume in A^3/atom: 19.6

Rb2MgAlBi | meta-GGA SCAN | PBEsol geometry

Cell lengths 5.445, 7.045, 7.045 Å; angles 90.00, 90.00, 90.00 degrees
Element x y z (fractional)
Rb: 0.000 0.500 0.000
Bi: 0.000 0.000 0.000
Al: 0.500 0.000 0.000
Rb: 0.000 0.000 0.500
Mg: 0.500 0.500 0.500

Values from the calculation:
M_tot in μB per cell: 0.0
Formation enthalpy at 0 K in eV/atom: 0.2941
Crystal system: tetragonal
Calculated volume in A^3/atom: 54.0

SrLaW2Cl | meta-GGA SCAN | PBEsol geometry

Cell lengths 4.740, 4.740, 6.147 Å; angles 90.00, 90.00, 90.00 degrees
Element x y z (fractional)
Sr: 0.000 0.000 0.000
Cl: 0.500 0.500 0.500
W: 0.500 0.000 0.000
La: 0.000 0.000 0.500
W: 0.000 0.500 0.000

Values from the calculation:
M_tot in μB per cell: 0.0
Crystal system: tetragonal
Uncorrected formation energy in kJ/mol of atoms: 250
Calculated volume in A^3/atom: 27.6

Sr2CdHg | meta-GGA SCAN | PBEsol geometry

Cell lengths 4.550, 4.568, 8.410 Å; angles 105.61, 90.00, 119.87 degrees
Element x y z (fractional)
Hg: 0.500 0.000 0.000
Sr: 0.247 0.495 0.243
Sr: 0.753 0.505 0.757
Cd: 0.000 0.000 0.500

Values from the calculation:
M_tot in μB per cell: 0.0
Formation enthalpy at 0 K in eV/atom: -0.3948
Crystal system: monoclinic
Calculated volume in A^3/atom: 36.0

ZnCu2Tc | meta-GGA SCAN | PBEsol geometry

Cell lengths 2.616, 2.616, 8.653 Å; angles 81.31, 81.31, 60.00 degrees
Element x y z (fractional)
Cu: 0.002 0.002 0.995
Zn: 0.253 0.253 0.240
Tc: 0.498 0.498 0.506
Cu: 0.747 0.747 0.759

Values from the calculation:
M_tot in μB per cell: 0.0
Formation enthalpy at 0 K in eV/atom: 0.1022
Crystal system: trigonal
Calculated volume in A^3/atom: 12.6